MnBe2Fe: PBEsol geometry, meta-GGA SCAN.

Computed properties:
SG: P4/mmm
Energy of formation from the pure elements in eV/atom: -0.257
Fermi-level density of states in states/eV/f.u.: 1.6
Calculated total energy in eV/atom: -11.530

Unit cell a=2.6776 b=2.6776 c=5.1326 alpha=90.00 beta=90.00 gamma=90.00
With the nearest neighbours (Å) after each atom.
Sites, in units of the cell vectors:
1 Be 0.0000 0.0000 0.7643  4 Fe 2.25, 4 Mn 2.33, 1 Be 2.42
2 Be 0.0000 0.0000 0.2357  4 Fe 2.25, 4 Mn 2.33, 1 Be 2.42
3 Mn 0.5000 0.5000 0.5000  8 Be 2.33, 2 Fe 2.57
4 Fe 0.5000 0.5000 0.0000  8 Be 2.25